# GGA-PBE Pu2Be4Si3Ge, optimized geometry
data_Pu2Be4Si3Ge
_cell_length_a 3.9572
_cell_length_b 3.9572
_cell_length_c 9.3629
_cell_angle_alpha 90.00
_cell_angle_beta 90.00
_cell_angle_gamma 90.00
_symmetry_space_group_name_H-M 'P -4 m 2'
_symmetry_Int_Tables_number 115
loop_
_symmetry_equiv_pos_as_xyz
'x,y,z'
'y,-x,-z'
'-x,-y,z'
'-y,x,-z'
'-x,y,z'
'-y,-x,-z'
'x,-y,z'
'y,x,-z'
loop_
_atom_site_label
_atom_site_type_symbol
_atom_site_fract_x
_atom_site_fract_y
_atom_site_fract_z
_atom_site_occupancy
Pu1 Pu 0.0000 0.5000 0.2465 1
Be1 Be 0.0000 0.0000 0.0000 1
Be2 Be 0.0000 0.5000 0.6339 1
Be3 Be 0.5000 0.5000 0.0000 1
Si1 Si 0.0000 0.5000 0.8715 1
Si2 Si 0.5000 0.5000 0.5000 1
Ge1 Ge 0.0000 0.0000 0.5000 1
# * calculated volume: 14.7 Å³ per atom
# * E_form (uncorrected): -0.291 eV per atom